[1]
Density functional theory data (GGA-PBE) for a relaxed RbRe3As5 crystal.

The structure in POSCAR format:
```
RbRe3As5
1.0
5.450 0.000 0.000
-2.725 4.720 0.000
0.000 0.000 8.375
Rb Re As
1 3 5
direct
0.000 0.000 0.000
0.000 0.500 0.500
0.500 0.000 0.500
0.500 0.500 0.500
0.000 0.000 0.500
0.333 0.667 0.252
0.333 0.667 0.748
0.667 0.333 0.252
0.667 0.333 0.748
```

Computed properties:
magnetization	1.25	Bohr magnetons per cell
E_tot	-6.638	eV/atom



[2]
Density functional theory data (GGA-PBE) for a relaxed BaDyPd crystal.

The structure in POSCAR format:
```
BaDyPd
1.0
7.330 0.000 0.000
0.000 7.330 0.000
0.000 0.000 7.330
Ba Dy Pd
4 4 4
direct
0.000 0.000 0.000
0.000 0.500 0.500
0.500 0.000 0.500
0.500 0.500 0.000
0.000 0.000 0.500
0.000 0.500 0.000
0.500 0.000 0.000
0.500 0.500 0.500
0.250 0.250 0.250
0.250 0.750 0.750
0.750 0.250 0.750
0.750 0.750 0.250
```

Computed properties:
magnetization	0.02	Bohr magnetons per cell
energy above the lowest structure with this stoichiometry	0	meV per atom



[3]
Density functional theory data (GGA-PBE) for a relaxed LiTbZnTe3 crystal.

The structure in POSCAR format:
```
LiTbZnTe3
1.0
11.498 0.000 0.000
0.000 4.236 0.000
0.000 0.000 14.328
Li Tb Zn Te
4 4 4 12
direct
0.243 0.250 0.049
0.257 0.750 0.549
0.743 0.250 0.451
0.757 0.750 0.951
0.003 0.750 0.749
0.497 0.250 0.249
0.503 0.750 0.751
0.997 0.250 0.251
0.247 0.750 0.227
0.253 0.250 0.727
0.747 0.750 0.273
0.753 0.250 0.773
0.069 0.750 0.107
0.078 0.250 0.605
0.247 0.250 0.344
0.253 0.750 0.844
0.422 0.750 0.105
0.431 0.250 0.607
0.569 0.750 0.393
0.578 0.250 0.895
0.747 0.250 0.156
0.753 0.750 0.656
0.922 0.750 0.395
0.931 0.250 0.893
```

Computed properties:
magnetization	0.01	Bohr magnetons per cell
energy above the lowest structure with this stoichiometry	19	meV per atom



Which formula does entry 3 have? LiTbZnTe3